# 1
{"formula": "NaRe2Cl6O2", "functional": "PBE", "state": "relaxed", "lattice": [[-1.8795, 4.9195, 6.4122], [1.8795, -4.9195, 6.4122], [1.8795, 4.9195, -6.4122]], "species": ["Na", "Re", "Re", "Cl", "Cl", "Cl", "Cl", "Cl", "Cl", "O", "O"], "frac_coords": [[0.0000, 0.0000, 0.0000], [0.3562, 0.5000, 0.8562], [0.6438, 0.5000, 0.1438], [0.0519, 0.3758, 0.6761], [0.3004, 0.6242, 0.6761], [0.3500, 0.3500, 0.0000], [0.6500, 0.6500, 0.0000], [0.6996, 0.3758, 0.3239], [0.9481, 0.6242, 0.3239], [0.3568, 0.0000, 0.3568], [0.6432, 0.0000, 0.6432]], "final_energy_ev_per_atom": -5.38}

# 2
{"formula": "Na2Sm3Te4Cl3O12", "functional": "PBE", "state": "relaxed", "lattice": [[11.9052, -2.8124, 0.0000], [11.9052, 2.8124, 0.0000], [-11.8705, 0.0000, 12.0242]], "species": ["Na", "Na", "Na", "Na", "Sm", "Sm", "Sm", "Sm", "Sm", "Sm", "Te", "Te", "Te", "Te", "Te", "Te", "Te", "Te", "Cl", "Cl", "Cl", "Cl", "Cl", "Cl", "O", "O", "O", "O", "O", "O", "O", "O", "O", "O", "O", "O", "O", "O", "O", "O", "O", "O", "O", "O", "O", "O", "O", "O"], "frac_coords": [[0.0444, 0.6237, 0.9324], [0.3763, 0.9556, 0.5676], [0.6237, 0.0444, 0.4324], [0.9556, 0.3763, 0.0676], [0.2485, 0.7475, 0.9138], [0.2499, 0.7501, 0.2500], [0.2525, 0.7515, 0.5862], [0.7475, 0.2485, 0.4138], [0.7501, 0.2499, 0.7500], [0.7515, 0.2525, 0.0862], [0.0629, 0.6612, 0.2998], [0.1656, 0.5536, 0.5904], [0.3388, 0.9371, 0.2002], [0.4464, 0.8344, 0.9096], [0.5536, 0.1656, 0.0904], [0.6612, 0.0629, 0.7998], [0.8344, 0.4464, 0.4096], [0.9371, 0.3388, 0.7002], [0.0000, 0.5000, 0.0000], [0.0027, 0.4971, 0.6671], [0.4971, 0.0027, 0.1671], [0.5000, 0.0000, 0.5000], [0.5029, 0.9973, 0.8329], [0.9973, 0.5029, 0.3329], [0.0113, 0.8488, 0.2869], [0.0247, 0.1312, 0.3900], [0.0706, 0.1058, 0.0796], [0.1058, 0.0706, 0.5796], [0.1312, 0.0247, 0.8900], [0.1512, 0.9887, 0.2131], [0.3494, 0.5003, 0.7379], [0.3716, 0.4822, 0.4059], [0.3915, 0.4313, 0.0704], [0.4313, 0.3915, 0.5704], [0.4822, 0.3716, 0.9059], [0.5003, 0.3494, 0.2379], [0.4997, 0.6506, 0.7621], [0.5178, 0.6284, 0.0941], [0.5687, 0.6085, 0.4296], [0.6085, 0.5687, 0.9296], [0.6284, 0.5178, 0.5941], [0.6506, 0.4997, 0.2621], [0.8488, 0.0113, 0.7869], [0.8688, 0.9753, 0.1100], [0.8942, 0.9294, 0.4204], [0.9294, 0.8942, 0.9204], [0.9753, 0.8688, 0.6100], [0.9887, 0.1512, 0.7131]], "final_energy_ev_per_atom": -5.95}